SrYIO2: optimized geometry, GGA-PBE.

a = 4.526 Å, b = 4.526 Å, c = 5.854 Å
α = 90.00°, β = 90.00°, γ = 90.00°
Fractional positions:
Sr (0.000, 0.000, 0.000)
Y (0.500, 0.500, 0.500)
I (0.500, 0.500, 0.000)
O (0.000, 0.500, 0.500)
O (0.500, 0.000, 0.500)

## Properties
energy above the lowest structure with this stoichiometry	0	meV/atom
VASP energy	-5.896	eV per atom
formation energy (no corrections)	-1.974	eV per atom